DFT (PBE-GGA) results for crystalline KYAs at its relaxed geometry.

**Electronic total energy**: -4.706 eV/atom
**Total moment**: 0.011 Bohr magnetons per cell
**Volume**: 37.3 Å³/atom

abc: 7.611 7.611 3.975
angles: 74.86 74.87 30.27
Positions (direct):
K (0.334, 0.334, 0.666)
Y (0.599, 0.599, 0.401)
As (0.067, 0.067, 0.933)